Entry 1:
6
Lattice="6.802 -0.002 -0.002 3.843 5.612 -0.002 3.842 2.025 5.234" Properties=species:S:1:pos:R:3 comment="Nd5Mg, optimized geometry, DFT PBE-GGA" de_polymorph_ev_per_atom=0.029 spacegroup="No. 155" total_magnetization_mub_per_cell=0.0 pbc="T T T"
Nd 5.713 2.063 -0.002
Nd 3.843 4.293 1.924
Nd 4.931 1.279 3.308
Nd 2.312 1.219 0.835
Nd 12.175 6.417 4.396
Mg 7.243 3.818 2.616

***

Entry 2:
4
Lattice="-0.183 5.422 -1.669 -3.341 1.526 -4.327 -4.649 3.111 0.964" Properties=species:S:1:pos:R:3 comment="Nd3Mg, optimized geometry, DFT PBE-GGA" total_energy_ev_per_cell=-15.68 spacegroup="No. 225" total_magnetization_mub_per_cell=0.0 pbc="T T T"
Mg -4.087 5.030 -2.516
Nd 0.000 0.000 0.000
Nd -6.130 7.544 -3.774
Nd -2.043 2.515 -1.258

***

Entry 3:
4
Lattice="-4.666 1.387 1.323 -1.700 -1.382 -4.544 -0.887 -4.649 1.746" Properties=species:S:1:pos:R:3 comment="Nd3Mg, optimized geometry, DFT PBE-GGA" total_energy_ev_per_cell=-15.91 spacegroup="No. 221" total_magnetization_mub_per_cell=0.0 pbc="T T T"
Mg 0.000 0.000 0.000
Nd -3.183 0.003 -1.610
Nd -2.776 -1.631 1.535
Nd -1.293 -3.015 -1.399

***

Entry 4:
7
Lattice="-0.788 1.106 -3.655 -1.547 -3.505 -0.727 -10.667 5.613 6.078" Properties=species:S:1:pos:R:3 comment="Nd3Mg4, optimized geometry, DFT PBE-GGA" total_energy_ev_per_cell=-21.23 spacegroup="No. 139" total_magnetization_mub_per_cell=0.0 pbc="T T T"
Nd -8.828 3.698 0.942
Nd -0.774 -1.752 -0.364
Nd -4.175 -0.483 0.754
Mg -5.605 2.500 -0.115
Mg -7.397 0.715 1.811
Mg -10.909 2.024 2.964
Mg -2.093 1.191 -1.268

***

Entry 5:
14
Lattice="6.100 0.000 0.000 -3.050 7.887 -1.038 0.000 0.211 9.286" Properties=species:S:1:pos:R:3 comment="Nd5Mg2, optimized geometry, DFT PBE-GGA" de_polymorph_ev_per_atom=0.000 spacegroup="No. 15" total_magnetization_mub_per_cell=0.0 pbc="T T T"
Nd 1.862 5.853 4.231
Nd 4.912 2.351 8.660
Nd 4.068 3.604 2.536
Nd 1.018 4.389 1.068
Nd -1.018 4.495 5.711
Nd 2.032 3.710 7.179
Nd -1.862 5.747 -0.412
Nd 1.188 2.246 4.017
Nd 1.163 0.159 6.965
Nd 4.937 0.053 2.322
Mg 4.146 1.235 5.501
Mg 1.097 6.969 7.390
Mg -1.096 6.864 2.747
Mg 1.953 1.130 0.858

***

Entry 6:
6
Lattice="-3.681 2.477 2.521 1.101 -2.626 4.188 4.550 6.774 -0.012" Properties=species:S:1:pos:R:3 comment="Nd5Mg, optimized geometry, DFT PBE-GGA" de_polymorph_ev_per_atom=0.031 spacegroup="No. 65" total_magnetization_mub_per_cell=0.0 pbc="T T T"
Mg 0.000 0.000 0.000
Nd 2.107 3.562 4.741
Nd 2.231 0.486 2.780
Nd -1.290 -0.075 3.355
Nd 3.420 3.662 1.396
Nd -0.136 3.063 1.956

***

Entry 7:
5
Lattice="3.426 0.000 0.000 1.713 2.967 0.000 1.713 0.989 14.089" Properties=species:S:1:pos:R:3 comment="Nd2Mg3, optimized geometry, DFT PBE-GGA" de_polymorph_ev_per_atom=0.138 spacegroup="No. 166" total_magnetization_mub_per_cell=0.0 pbc="T T T"
Nd 1.713 0.989 1.532
Nd 5.139 2.967 12.556
Mg 1.713 0.989 9.644
Mg 3.426 1.978 7.044
Mg 5.139 2.967 4.445

***

Entry 8:
4
Lattice="3.481 0.000 0.000 0.000 3.482 0.000 0.000 0.000 11.140" Properties=species:S:1:pos:R:3 comment="Nd3Mg, optimized geometry, DFT PBE-GGA" total_energy_ev_per_cell=-15.21 spacegroup="No. 25" total_magnetization_mub_per_cell=0.0 pbc="T T T"
Mg 0.000 0.000 10.814
Nd 0.000 1.741 5.226
Nd 1.740 1.741 2.061
Nd 1.740 0.000 7.894